[1]
! Ba3Ga2Cu2 PBE relaxed; values from VASP
! Volume ... 31.4 Å³/atom
! M_tot ... 0.00 μB/cell
! Space group ... C2/m
! DFT formation energy ... -0.1806 eV/atom
! DOS(E_F) ... 6.1 states/eV per cell
&SYSTEM
  ibrav = 0, nat = 7, ntyp = 3
/
ATOMIC_SPECIES
Cu 63.55 Cu.upf
Ba 137.33 Ba.upf
Ga 69.72 Ga.upf
CELL_PARAMETERS angstrom
-0.0189 0.3924 -4.9188
-4.1469 -4.3528 2.1438
-3.1361 7.5442 0.6139
ATOMIC_POSITIONS angstrom
Cu -4.5223 5.3508 0.4442
Cu -2.7796 -1.7669 -2.6053
Ba -3.6128 0.0958 0.0215
Ba -0.0094 0.1962 -2.4594
Ba -3.6891 3.4880 -2.1827
Ga -1.1206 2.5595 0.2085
Ga -6.1813 1.0244 -2.3696

=====

[2]
! Ba2GaCu3 PBE relaxed; values from VASP
! Volume ... 26.5 Å³/atom
! M_tot ... 0.00 μB/cell
! Space group ... Fmmm
! DFT formation energy ... -0.0953 eV/atom
! DOS(E_F) ... 9.7 states/eV per cell
&SYSTEM
  ibrav = 0, nat = 12, ntyp = 3
/
ATOMIC_SPECIES
Ba 137.33 Ba.upf
Cu 63.55 Cu.upf
Ga 69.72 Ga.upf
CELL_PARAMETERS angstrom
-3.1961 5.4156 -1.4520
-1.5151 -2.8568 -5.5853
-3.9658 -4.1559 6.7046
ATOMIC_POSITIONS angstrom
Ba -4.7588 1.2696 0.8670
Ba -3.9182 -2.8666 -1.1997
Ba -1.9210 -0.8589 -4.5871
Ba -2.7901 3.4178 -2.4502
Cu -4.5816 1.4353 -4.7359
Cu -4.0954 -3.0323 4.4032
Cu -6.5663 -0.6366 -1.3964
Cu -2.2398 0.1633 -1.2379
Cu -6.4372 -1.7604 0.9052
Cu -2.1107 -0.9604 1.0638
Ga -4.4400 0.3309 -2.4681
Ga -4.2370 -1.9280 2.1354

=====

[3]
! Ba2GaCu PBE relaxed; values from VASP
! Volume ... 37.8 Å³/atom
! M_tot ... 0.64 μB/cell
! Space group ... I-42d
! DFT formation energy ... 0.1660 eV/atom
! DOS(E_F) ... 9.8 states/eV per cell
&SYSTEM
  ibrav = 0, nat = 8, ntyp = 3
/
ATOMIC_SPECIES
Ba 137.33 Ba.upf
Cu 63.55 Cu.upf
Ga 69.72 Ga.upf
CELL_PARAMETERS angstrom
8.8083 0.0000 0.0000
0.0000 8.8083 0.0000
4.4041 4.4041 3.8947
ATOMIC_POSITIONS angstrom
Ba 2.4155 6.6062 0.9737
Ba 6.6062 6.8197 2.9210
Ba 11.0103 10.7969 2.9210
Ba 6.3927 2.2021 0.9737
Cu 4.4041 8.8083 1.9473
Cu 4.4041 4.4041 0.0000
Ga 8.8083 4.4041 1.9473
Ga 0.0000 0.0000 0.0000

=====

[4]
! Ba3Ga4Cu2 PBE relaxed; values from VASP
! Volume ... 29.6 Å³/atom
! M_tot ... 0.00 μB/cell
! Space group ... C2/m
! DFT formation energy ... -0.2281 eV/atom
! Relative energy among the computed polymorphs ... 80 meV per atom
! DOS(E_F) ... 7.8 states/eV per cell
&SYSTEM
  ibrav = 0, nat = 9, ntyp = 3
/
ATOMIC_SPECIES
Cu 63.55 Cu.upf
Ga 69.72 Ga.upf
Ba 137.33 Ba.upf
CELL_PARAMETERS angstrom
-1.1556 2.3508 3.6279
-7.1569 -2.0300 -0.9642
5.1353 -6.6214 3.1666
ATOMIC_POSITIONS angstrom
Cu 2.8709 -3.8672 3.4203
Cu -6.0480 -2.4334 2.4100
Ga -4.5096 -3.8302 3.8051
Ga 1.3324 -2.4703 2.0251
Ga 2.0766 -5.8885 4.4771
Ga -5.2537 -0.4120 1.3532
Ba -0.4964 -3.4378 4.8291
Ba -2.6807 -2.8628 1.0012
Ba 0.0000 0.0000 0.0000

=====

[5]
! Ba2Ga7Cu PBE relaxed; values from VASP
! Volume ... 22.6 Å³/atom
! M_tot ... 0.00 μB/cell
! Space group ... P-4m2
! DFT formation energy ... -0.3896 eV/atom
! DOS(E_F) ... 4.2 states/eV per cell
&SYSTEM
  ibrav = 0, nat = 10, ntyp = 3
/
ATOMIC_SPECIES
Ga 69.72 Ga.upf
Cu 63.55 Cu.upf
Ba 137.33 Ba.upf
CELL_PARAMETERS angstrom
4.5391 0.0000 0.0000
0.0000 4.5391 0.0000
0.0000 0.0000 10.9514
ATOMIC_POSITIONS angstrom
Ga 0.0000 0.0000 0.0000
Ga 0.0000 2.2696 9.6206
Ga 2.2696 0.0000 4.0180
Ga 0.0000 0.0000 5.4757
Ga 2.2696 0.0000 1.3307
Ga 0.0000 2.2696 6.9334
Ga 2.2696 2.2696 5.4757
Cu 2.2696 2.2696 0.0000
Ba 2.2696 0.0000 8.2350
Ba 0.0000 2.2696 2.7164

=====

[6]
! BaGa6Cu8 PBE relaxed; values from VASP
! Volume ... 16.5 Å³/atom
! M_tot ... 0.00 μB/cell
! Space group ... R-3
! DFT formation energy ... -0.0038 eV/atom
! DOS(E_F) ... 7.6 states/eV per cell
&SYSTEM
  ibrav = 0, nat = 15, ntyp = 3
/
ATOMIC_SPECIES
Cu 63.55 Cu.upf
Ba 137.33 Ba.upf
Ga 69.72 Ga.upf
CELL_PARAMETERS angstrom
-3.4098 4.2619 -3.5285
-3.8331 -3.5332 -3.8813
-5.9287 0.2018 2.6552
ATOMIC_POSITIONS angstrom
Cu -6.2817 -0.8396 -4.7043
Cu -6.8077 3.1397 -2.4685
Cu -5.3310 1.7520 -4.3723
Cu -7.8405 -0.8216 -0.3823
Cu -10.2084 0.7211 -3.6849
Cu -6.8899 1.7700 -0.0502
Cu -2.9632 0.2093 -1.0696
Cu -6.3639 -2.2093 -2.2861
Ba 0.0000 0.0000 0.0000
Ga -8.3729 -0.9904 -3.0111
Ga -4.7986 1.9209 -1.7435
Ga -7.7564 1.3624 -4.2585
Ga -5.4151 -0.4320 -0.4960
Ga -8.6834 1.3808 -1.6871
Ga -4.4882 -0.4503 -3.0675

=====

[7]
! Ba2Ga7Cu12 PBE relaxed; values from VASP
! Volume ... 16.6 Å³/atom
! M_tot ... 0.00 μB/cell
! Space group ... P-6
! DFT formation energy ... -0.1242 eV/atom
! DOS(E_F) ... 7.0 states/eV per cell
&SYSTEM
  ibrav = 0, nat = 21, ntyp = 3
/
ATOMIC_SPECIES
Cu 63.55 Cu.upf
Ga 69.72 Ga.upf
Ba 137.33 Ba.upf
CELL_PARAMETERS angstrom
-3.0325 2.0713 1.8267
-4.2801 -8.5381 2.5762
6.5599 4.2677 6.0507
ATOMIC_POSITIONS angstrom
Cu 1.5151 0.1004 7.0061
Cu 1.1454 -3.8949 6.3178
Cu 0.5026 0.7007 4.6445
Cu 1.3567 -1.8536 4.3540
Cu 4.2205 -0.0326 7.0433
Cu -4.0113 -4.6150 3.1787
Cu 2.2732 2.3032 5.7668
Cu -1.3786 -4.1890 7.0661
Cu -2.5583 -6.8100 3.4750
Cu 3.2624 1.8835 3.2802
Cu -1.1592 -0.8976 3.6982
Cu -0.5875 -2.1037 1.4101
Ga 1.1824 -0.3477 2.3571
Ga -2.9863 -2.1662 2.1036
Ga -0.2569 -1.8289 6.2520
Ga 2.8535 -2.1313 7.1538
Ga 4.8037 2.4763 5.1666
Ga -3.3058 -5.7064 5.5875
Ga 2.9465 -0.0009 4.8925
Ba -0.6668 -4.2695 3.7343
Ba -1.5162 1.0357 0.9134

=====

[8]
! BaGa2Cu PBE relaxed; values from VASP
! Volume ... 23.5 Å³/atom
! M_tot ... 0.00 μB/cell
! Space group ... Fm-3m
! DFT formation energy ... 0.0551 eV/atom
! DOS(E_F) ... 2.3 states/eV per cell
&SYSTEM
  ibrav = 0, nat = 4, ntyp = 3
/
ATOMIC_SPECIES
Cu 63.55 Cu.upf
Ga 69.72 Ga.upf
Ba 137.33 Ba.upf
CELL_PARAMETERS angstrom
-3.9744 -3.2009 0.1894
-2.6557 -0.5198 4.3306
-4.7511 1.8446 0.3186
ATOMIC_POSITIONS angstrom
Cu 0.0000 0.0000 0.0000
Ga -8.5358 -1.4070 3.6290
Ga -2.8453 -0.4690 1.2097
Ba -5.6906 -0.9380 2.4193